Density functional theory data (PBE) for a relaxed structure of Zr2SiOs.

Computed properties:
Formation energy (no corrections) ... -61.0 kJ per mole of atoms

```
data_Zr2SiOs
_space_group_name_H-M_alt 'A m m 2'
_space_group_IT_number 38
_space_group_name_Hall 'A 2 -2'
_cell_length_a 3.972
_cell_length_b 3.678
_cell_length_c 10.181
_cell_angle_alpha 90.00
_cell_angle_beta 90.00
_cell_angle_gamma 90.00
loop_
_atom_site_label
_atom_site_fract_x
_atom_site_fract_y
_atom_site_fract_z
Zr1 0.000 0.000 0.000
Zr2 0.500 0.000 0.285
Si1 0.000 0.000 0.719
Os1 0.500 0.000 0.560
```